# ReMoIr2

A PBEsol-optimized structure of ReMoIr2 (SCAN, the Alexandria database).

Output
Calculated density = 19.3 Mg/m³
Total energy = -62.35 eV per atom
ΔH_f (0 K) = -0.305 eV/atom

Geometry as extended XYZ:
```
4
Lattice="-0.195 -0.587 -2.643 2.848 -3.748 0.623 -4.535 -1.263 0.615" Properties=species:S:1:pos:R:3 pbc="T T T"
Mo -0.097 -0.294 -1.321
Ir -2.268 -0.632 0.308
Ir 1.424 -1.874 0.311
Re -0.941 -2.799 -0.703
```



# In2Re

A PBEsol-optimized structure of In2Re (SCAN, the Alexandria database).

Output
Calculated density = 12.5 Mg/m³
Total energy = -45.24 eV per atom
ΔH_f (0 K) = 0.713 eV/atom

Geometry as extended XYZ:
```
3
Lattice="2.836 0.000 0.000 0.000 4.750 0.000 0.000 -2.375 4.114" Properties=species:S:1:pos:R:3 pbc="T T T"
Re 0.000 0.000 0.000
In 0.922 0.000 2.742
In 1.914 2.375 1.371
```



# Ag3Pb5

A PBEsol-optimized structure of Ag3Pb5 (SCAN, the Alexandria database).

Output
Calculated density = 11.3 Mg/m³
Total energy = -59.01 eV per atom
ΔH_f (0 K) = 0.120 eV/atom

Geometry as extended XYZ:
```
16
Lattice="6.252 0.000 0.000 0.000 8.573 0.000 0.000 -4.286 7.424" Properties=species:S:1:pos:R:3 pbc="T T T"
Pb 1.563 1.032 1.788
Pb 1.563 -3.254 5.636
Pb 4.689 -1.032 1.788
Pb 0.000 4.286 2.475
Pb 4.689 3.254 5.636
Pb 3.126 4.286 2.475
Pb 0.000 0.000 4.950
Pb 1.563 6.508 0.000
Pb 3.126 0.000 4.950
Pb 4.689 2.065 0.000
Ag 4.689 1.729 2.994
Ag 1.563 3.457 0.000
Ag 1.563 2.558 4.430
Ag 4.689 5.115 0.000
Ag 4.689 -2.558 4.430
Ag 1.563 -1.729 2.994
```



# Rb4MnAs2S8

A PBEsol-optimized structure of Rb4MnAs2S8 (SCAN, the Alexandria database).

Output
Calculated density = 3.1 Mg/m³
Total energy = -15.50 eV per atom
E_form (uncorrected) = -0.926 eV per atom

Geometry as extended XYZ:
```
30
Lattice="9.009 -0.052 -0.029 -0.399 9.160 0.006 -2.757 -3.136 10.280" Properties=species:S:1:pos:R:3 pbc="T T T"
S 3.693 -0.444 6.288
S 1.620 2.759 0.817
S 4.232 3.213 9.440
S 3.892 6.516 0.803
S 1.961 -0.544 9.454
S 0.164 -0.090 2.551
S 5.526 6.699 4.046
S 1.932 5.705 7.450
S -1.708 2.878 7.798
S 7.560 3.093 2.459
S 5.689 6.062 7.706
S 0.327 -0.727 6.211
S 1.576 2.437 4.363
S 2.160 6.416 3.969
S 4.277 3.535 5.894
S 3.920 0.267 2.807
As 3.823 7.270 2.807
As 2.029 -1.298 7.450
As 5.398 3.872 7.752
As 0.455 2.099 2.505
Mn 3.912 6.054 5.880
Mn 1.941 -0.083 4.377
Rb -0.794 5.132 5.348
Rb 5.325 0.119 9.064
Rb 1.593 2.318 7.706
Rb 4.260 3.654 2.551
Rb 6.647 0.840 4.909
Rb 6.511 -0.007 0.409
Rb 0.527 5.853 1.193
Rb -0.658 5.979 9.848
```



# LaRu2Pt

A PBEsol-optimized structure of LaRu2Pt (SCAN, the Alexandria database).

Output
Calculated density = 12.8 Mg/m³
Total energy = -45.76 eV per atom
ΔH_f (0 K) = -0.024 eV/atom

Geometry as extended XYZ:
```
4
Lattice="-0.949 2.223 1.594 0.182 -2.593 3.724 5.320 0.755 0.265" Properties=species:S:1:pos:R:3 pbc="T T T"
Ru 0.300 0.510 3.110
Ru 0.151 0.308 0.207
Pt 4.014 -0.522 2.209
La 2.273 1.578 0.987
```



# KIrOs2

A PBEsol-optimized structure of KIrOs2 (SCAN, the Alexandria database).

Output
Calculated density = 16.1 Mg/m³
Total energy = -54.19 eV per atom
ΔH_f (0 K) = 1.608 eV/atom

Geometry as extended XYZ:
```
4
Lattice="-2.924 3.130 -0.162 0.214 -2.538 3.813 1.715 1.783 3.500" Properties=species:S:1:pos:R:3 pbc="T T T"
K -0.800 2.416 4.410
Ir -0.604 2.457 1.669
Os 0.000 0.000 0.000
Os -0.195 -0.041 2.741
```



Q: total energy of number 4 (Rb4MnAs2S8)?
A: -15.50 eV per atom



Q: calculated density of number 4 (Rb4MnAs2S8)?
A: 3.1 Mg/m³